No. 1
Compound: RbFePb2
Source: Alexandria via LeMat-Bulk
Functional: SCAN
Structure: single point on PBEsol structure

Lattice parameters (Å, degrees): 5.3058 5.3058 5.3058 60.00 60.00 60.00
Sites, in units of the cell vectors:
Rb  0.0000  0.0000  0.0000
Fe  0.5000  0.5000  0.5000
Pb  0.2500  0.2500  0.2500
Pb  0.7500  0.7500  0.7500

Values from the calculation:
**Total energy**: -1.731 Ha/atom
**Energy of formation**: 0.500 eV/atom
**Mass density**: 8.74 g/cm³


No. 2
Compound: Y5Ni
Source: Alexandria via LeMat-Bulk
Functional: SCAN
Structure: single point on PBEsol structure

Lattice parameters (Å, degrees): 6.1746 6.1746 8.2092 110.21 110.21 33.33
Sites, in units of the cell vectors:
Y  0.0000  0.0000  0.0000
Y  0.0412  0.0412  0.4197
Y  0.2987  0.2987  0.1691
Y  0.3399  0.3399  0.5888
Y  0.6699  0.6699  0.7944
Ni  0.6702  0.6702  0.2950

Values from the calculation:
**Total energy**: -0.955 Ha/atom
**Energy of formation**: -0.084 eV/atom
**Mass density**: 5.21 g/cm³


No. 3
Compound: ScMn2Ir
Source: Alexandria via LeMat-Bulk
Functional: SCAN
Structure: single point on PBEsol structure

Lattice parameters (Å, degrees): 2.7576 3.8743 5.3546 90.00 90.00 90.00
Sites, in units of the cell vectors:
Sc  0.0000  0.0000  0.0000
Mn  0.5000  0.5000  0.2755
Mn  0.5000  0.5000  0.7245
Ir  0.0000  0.0000  0.5000

Values from the calculation:
**Total energy**: -1.129 Ha/atom
**Energy of formation**: -0.263 eV/atom
**Energy above the most stable polymorph in this dataset**: 213 meV per atom
**Mass density**: 10.07 g/cm³


No. 4
Compound: NbSbPI2
Source: Alexandria via LeMat-Bulk
Functional: SCAN
Structure: single point on PBEsol structure

Lattice parameters (Å, degrees): 5.3339 5.3339 5.5422 90.00 90.00 90.00
Sites, in units of the cell vectors:
Nb  0.0000  0.0000  0.0000
Sb  0.0000  0.0000  0.5000
P  0.5000  0.5000  0.5000
I  0.0000  0.5000  0.0000
I  0.5000  0.0000  0.0000

Values from the calculation:
**Formation energy (no corrections)**: 0.771 eV/atom
**Total energy**: -1.106 Ha/atom
**Mass density**: 5.26 g/cm³


No. 5
Compound: MnTeCl2
Source: Alexandria via LeMat-Bulk
Functional: SCAN
Structure: single point on PBEsol structure

Lattice parameters (Å, degrees): 5.4037 5.4037 5.4037 132.72 132.72 69.09
Sites, in units of the cell vectors:
Mn  0.0000  0.0000  0.0000
Te  0.5000  0.5000  0.0000
Cl  0.2500  0.7500  0.5000
Cl  0.7500  0.2500  0.5000

Values from the calculation:
**Formation energy (no corrections)**: -0.091 eV/atom
**Total energy**: -0.660 Ha/atom
**Energy above the most stable polymorph in this dataset**: 355 meV per atom
**Mass density**: 5.03 g/cm³


No. 6
Compound: Ta3Tc
Source: Alexandria via LeMat-Bulk
Functional: SCAN
Structure: single point on PBEsol structure

Lattice parameters (Å, degrees): 5.5530 5.5530 4.5371 90.00 90.00 108.84
Sites, in units of the cell vectors:
Ta  0.1215  0.8785  0.7500
Ta  0.1312  0.3812  0.7500
Ta  0.3812  0.1312  0.2500
Ta  0.6188  0.8688  0.7500
Ta  0.8688  0.6188  0.2500
Ta  0.8785  0.1215  0.2500
Tc  0.3741  0.6259  0.2500
Tc  0.6259  0.3741  0.7500

Values from the calculation:
**Total energy**: -2.168 Ha/atom
**Energy of formation**: -0.286 eV/atom
**Energy above the most stable polymorph in this dataset**: 35 meV per atom
**Mass density**: 16.07 g/cm³


No. 7
Compound: Zn4CoTe
Source: Alexandria via LeMat-Bulk
Functional: SCAN
Structure: single point on PBEsol structure

Lattice parameters (Å, degrees): 5.0650 5.0650 5.0650 60.00 60.00 60.00
Sites, in units of the cell vectors:
Zn  0.1237  0.1237  0.1237
Zn  0.1237  0.1237  0.6290
Zn  0.1237  0.6290  0.1237
Zn  0.6290  0.1237  0.1237
Co  0.7500  0.7500  0.7500
Te  0.5000  0.5000  0.5000

Values from the calculation:
**Formation energy (no corrections)**: 0.366 eV/atom
**Total energy**: -0.652 Ha/atom
**Mass density**: 8.10 g/cm³


No. 8
Compound: CrNi2Rh
Source: Alexandria via LeMat-Bulk
Functional: SCAN
Structure: single point on PBEsol structure

Lattice parameters (Å, degrees): 4.4224 4.4224 4.4224 132.77 132.77 69.02
Sites, in units of the cell vectors:
Cr  0.0000  0.0000  0.0000
Ni  0.2500  0.7500  0.5000
Ni  0.7500  0.2500  0.5000
Rh  0.5000  0.5000  0.0000

Values from the calculation:
**Total energy**: -0.778 Ha/atom
**Energy of formation**: -0.049 eV/atom
**Mass density**: 9.88 g/cm³


No. 9
Compound: Zr2Ru
Source: Alexandria via LeMat-Bulk
Functional: SCAN
Structure: single point on PBEsol structure

Lattice parameters (Å, degrees): 8.6706 8.6706 8.6706 60.00 60.00 60.00
Sites, in units of the cell vectors:
Zr  0.0000  0.0000  0.0000
Zr  0.0000  0.0000  0.5000
Zr  0.0000  0.5000  0.0000
Zr  0.1879  0.1879  0.5621
Zr  0.1879  0.5621  0.1879
Zr  0.1879  0.5621  0.5621
Zr  0.4379  0.4379  0.8121
Zr  0.4379  0.8121  0.4379
Zr  0.4379  0.8121  0.8121
Zr  0.5000  0.0000  0.0000
Zr  0.5621  0.1879  0.1879
Zr  0.5621  0.1879  0.5621
Zr  0.5621  0.5621  0.1879
Zr  0.8121  0.4379  0.4379
Zr  0.8121  0.4379  0.8121
Zr  0.8121  0.8121  0.4379
Ru  0.1572  0.7809  0.7809
Ru  0.2191  0.2191  0.2191
Ru  0.2191  0.2191  0.8428
Ru  0.2191  0.8428  0.2191
Ru  0.7809  0.1572  0.7809
Ru  0.7809  0.7809  0.1572
Ru  0.7809  0.7809  0.7809
Ru  0.8428  0.2191  0.2191

Values from the calculation:
**Total energy**: -1.195 Ha/atom
**Energy of formation**: -0.433 eV/atom
**Mass density**: 8.17 g/cm³


No. 10
Compound: CrWI2N
Source: Alexandria via LeMat-Bulk
Functional: SCAN
Structure: single point on PBEsol structure

Lattice parameters (Å, degrees): 5.3501 5.3501 3.4968 90.00 90.00 90.00
Sites, in units of the cell vectors:
Cr  0.0000  0.0000  0.0000
W  0.5000  0.5000  0.5000
I  0.0000  0.5000  0.0000
I  0.5000  0.0000  0.0000
N  0.0000  0.0000  0.5000

Values from the calculation:
**Formation energy (no corrections)**: 1.104 eV/atom
**Total energy**: -1.215 Ha/atom
**Mass density**: 8.36 g/cm³


No. 11
Compound: BeOs2
Source: Alexandria via LeMat-Bulk
Functional: SCAN
Structure: single point on PBEsol structure

Lattice parameters (Å, degrees): 4.1704 4.1704 4.1704 142.03 119.47 73.72
Sites, in units of the cell vectors:
Be  0.0000  0.0000  0.0000
Os  0.3148  0.8148  0.5000
Os  0.6852  0.1852  0.5000

Values from the calculation:
**Total energy**: -1.812 Ha/atom
**Energy of formation**: 0.076 eV/atom
**Mass density**: 16.99 g/cm³


No. 12
Compound: Sc2CoPb
Source: Alexandria via LeMat-Bulk
Functional: SCAN
Structure: single point on PBEsol structure

Lattice parameters (Å, degrees): 5.1749 5.1749 5.1749 137.93 123.94 72.50
Sites, in units of the cell vectors:
Sc  0.2063  0.2063  0.0000
Sc  0.7937  0.7937  0.0000
Co  0.0000  0.5000  0.5000
Pb  0.5000  0.0000  0.5000

Values from the calculation:
**Total energy**: -1.125 Ha/atom
**Energy of formation**: -0.210 eV/atom
**Mass density**: 7.84 g/cm³


No. 13
Compound: PPb2W
Source: Alexandria via LeMat-Bulk
Functional: SCAN
Structure: single point on PBEsol structure

Lattice parameters (Å, degrees): 5.4492 5.4492 5.4492 140.73 127.28 67.67
Sites, in units of the cell vectors:
P  0.0000  0.0000  0.0000
Pb  0.2353  0.7353  0.5000
Pb  0.7647  0.2647  0.5000
W  0.5000  0.5000  0.0000

Values from the calculation:
**Total energy**: -2.085 Ha/atom
**Energy of formation**: 1.189 eV/atom
**Mass density**: 13.03 g/cm³


No. 14
Compound: AgPOs2
Source: Alexandria via LeMat-Bulk
Functional: SCAN
Structure: single point on PBEsol structure

Lattice parameters (Å, degrees): 2.7833 4.5082 4.6360 90.00 90.00 90.00
Sites, in units of the cell vectors:
Ag  0.0000  0.0000  0.0000
P  0.5000  0.0000  0.5000
Os  0.0000  0.5000  0.5000
Os  0.5000  0.5000  0.0000

Values from the calculation:
**Total energy**: -1.670 Ha/atom
**Energy of formation**: 0.949 eV/atom
**Mass density**: 14.82 g/cm³


No. 15
Compound: Cd2In
Source: Alexandria via LeMat-Bulk
Functional: SCAN
Structure: single point on PBEsol structure

Lattice parameters (Å, degrees): 3.1675 3.1675 7.6627 90.00 90.00 120.00
Sites, in units of the cell vectors:
Cd  0.3333  0.6667  0.1602
Cd  0.6667  0.3333  0.8398
In  0.0000  0.0000  0.5000

Values from the calculation:
**Total energy**: -1.152 Ha/atom
**Energy of formation**: 0.048 eV/atom
**Mass density**: 8.47 g/cm³


No. 16
Compound: MnCrOs2
Source: Alexandria via LeMat-Bulk
Functional: SCAN
Structure: single point on PBEsol structure

Lattice parameters (Å, degrees): 2.8725 4.1954 4.3677 90.00 90.00 90.00
Sites, in units of the cell vectors:
Mn  0.0000  0.0000  0.0000
Cr  0.5000  0.0000  0.5000
Os  0.0000  0.5000  0.5000
Os  0.5000  0.5000  0.0000

Values from the calculation:
**Total energy**: -1.654 Ha/atom
**Energy of formation**: 0.086 eV/atom
**Mass density**: 15.38 g/cm³


No. 17
Compound: LiZrOs2
Source: Alexandria via LeMat-Bulk
Functional: SCAN
Structure: single point on PBEsol structure

Lattice parameters (Å, degrees): 4.6947 4.6947 3.0257 90.00 90.00 112.46
Sites, in units of the cell vectors:
Li  0.0000  0.0000  0.0000
Zr  0.5000  0.5000  0.0000
Os  0.0000  0.5000  0.5000
Os  0.5000  0.0000  0.5000

Values from the calculation:
**Total energy**: -1.619 Ha/atom
**Energy of formation**: 0.164 eV/atom
**Mass density**: 12.90 g/cm³


No. 18
Compound: SbIr
Source: Alexandria via LeMat-Bulk
Functional: SCAN
Structure: single point on PBEsol structure

Lattice parameters (Å, degrees): 4.3706 3.0738 5.8585 90.00 90.00 90.00
Sites, in units of the cell vectors:
Sb  0.2500  0.0000  0.2428
Sb  0.7500  0.0000  0.7572
Ir  0.2500  0.5000  0.6461
Ir  0.7500  0.5000  0.3539

Values from the calculation:
**Formation energy (no corrections)**: 0.267 eV/atom
**Total energy**: -1.981 Ha/atom
**Mass density**: 13.25 g/cm³


No. 19
Compound: Nb2NiAu2
Source: Alexandria via LeMat-Bulk
Functional: SCAN
Structure: single point on PBEsol structure

Lattice parameters (Å, degrees): 7.2738 7.2738 7.2738 150.93 150.93 41.58
Sites, in units of the cell vectors:
Nb  0.0849  0.0849  0.0000
Nb  0.9151  0.9151  0.0000
Ni  0.5000  0.5000  0.0000
Au  0.2500  0.7500  0.5000
Au  0.7500  0.2500  0.5000

Values from the calculation:
**Total energy**: -1.606 Ha/atom
**Energy of formation**: 0.457 eV/atom
**Mass density**: 11.69 g/cm³


No. 20
Compound: MgCuN2
Source: Alexandria via LeMat-Bulk
Functional: SCAN
Structure: single point on PBEsol structure

Lattice parameters (Å, degrees): 6.0723 6.0723 6.0723 28.99 28.99 28.99
Sites, in units of the cell vectors:
Mg  0.0000  0.0000  0.0000
Cu  0.5000  0.5000  0.5000
N  0.1141  0.1141  0.1141
N  0.8859  0.8859  0.8859

Values from the calculation:
**Formation energy (no corrections)**: 0.834 eV/atom
**Total energy**: -0.325 Ha/atom
**Mass density**: 4.14 g/cm³